(1)
# ZrPdW3 PBEsol optimized geometry
# * formation energy: 2.61 eV/atom
# * size of the total moment: 0.00 Bohr magnetons per cell
data_ZrPdW3
_cell_length_a 4.653
_cell_length_b 4.653
_cell_length_c 4.653
_cell_angle_alpha 90.00
_cell_angle_beta 90.00
_cell_angle_gamma 90.00
_space_group_name_H-M_alt 'P m -3 m'
_space_group_IT_number 221
_space_group_name_Hall '-P 4 2 3'
loop_
_atom_site_label
_atom_site_type_symbol
_atom_site_fract_x
_atom_site_fract_y
_atom_site_fract_z
Zr1 Zr 0.000 0.000 0.000
Pd1 Pd 0.500 0.500 0.500
W1 W 0.000 0.000 0.500


(2)
# Cr2FeCu PBEsol optimized geometry
# * formation energy: 0.30 eV/atom
# * size of the total moment: 3.28 Bohr magnetons per cell
data_Cr2FeCu
_cell_length_a 8.410
_cell_length_b 2.366
_cell_length_c 4.496
_cell_angle_alpha 90.00
_cell_angle_beta 97.13
_cell_angle_gamma 90.00
_space_group_name_H-M_alt 'C 1 2/m 1'
_space_group_IT_number 12
_space_group_name_Hall '-C 2y'
loop_
_atom_site_label
_atom_site_type_symbol
_atom_site_fract_x
_atom_site_fract_y
_atom_site_fract_z
Cr1 Cr 0.249 0.000 0.249
Fe1 Fe 0.000 0.500 0.000
Cu1 Cu 0.000 0.000 0.500


(3)
# CaSn2H PBEsol optimized geometry
# * size of the total moment: 0.01 Bohr magnetons per cell
# * raw total energy: -51.05 eV/cell
data_CaSn2H
_cell_length_a 7.090
_cell_length_b 7.090
_cell_length_c 7.090
_cell_angle_alpha 90.00
_cell_angle_beta 90.00
_cell_angle_gamma 90.00
_space_group_name_H-M_alt 'F m -3 m'
_space_group_IT_number 225
_space_group_name_Hall '-F 4 2 3'
loop_
_atom_site_label
_atom_site_type_symbol
_atom_site_fract_x
_atom_site_fract_y
_atom_site_fract_z
Ca1 Ca 0.000 0.000 0.000
Sn1 Sn 0.250 0.250 0.250
H1 H 0.000 0.000 0.500


(4)
# YTc2Rh PBEsol optimized geometry
# * formation energy: 0.12 eV/atom
# * size of the total moment: 0.00 Bohr magnetons per cell
data_YTc2Rh
_cell_length_a 3.742
_cell_length_b 3.742
_cell_length_c 4.686
_cell_angle_alpha 90.00
_cell_angle_beta 90.00
_cell_angle_gamma 90.00
_space_group_name_H-M_alt 'P 4/m m m'
_space_group_IT_number 123
_space_group_name_Hall '-P 4 2'
loop_
_atom_site_label
_atom_site_type_symbol
_atom_site_fract_x
_atom_site_fract_y
_atom_site_fract_z
Y1 Y 0.000 0.000 0.000
Tc1 Tc 0.000 0.500 0.500
Rh1 Rh 0.500 0.500 0.000


(5)
# Ba2TlCu PBEsol optimized geometry
# * formation energy: -0.15 eV/atom
# * size of the total moment: 0.00 Bohr magnetons per cell
data_Ba2TlCu
_cell_length_a 4.7519
_cell_length_b 4.7519
_cell_length_c 24.5621
_cell_angle_alpha 90.00
_cell_angle_beta 90.00
_cell_angle_gamma 120.00
_space_group_name_H-M_alt 'R 3 m'
_space_group_IT_number 160
_space_group_name_Hall 'R 3 -2"'
loop_
_atom_site_label
_atom_site_type_symbol
_atom_site_fract_x
_atom_site_fract_y
_atom_site_fract_z
Ba1 Ba 0.0000 0.0000 0.0000
Ba2 Ba 0.0000 0.0000 0.1683
Tl1 Tl 0.0000 0.0000 0.4177
Cu1 Cu 0.0000 0.0000 0.7508


(6)
# LaTcRh PBEsol optimized geometry
# * formation energy: 0.35 eV/atom
# * size of the total moment: 0.02 Bohr magnetons per cell
data_LaTcRh
_cell_length_a 4.5800
_cell_length_b 4.5800
_cell_length_c 2.8788
_cell_angle_alpha 90.00
_cell_angle_beta 90.00
_cell_angle_gamma 120.00
_space_group_name_H-M_alt 'P 3 m 1'
_space_group_IT_number 156
_space_group_name_Hall 'P 3 -2"'
loop_
_atom_site_label
_atom_site_type_symbol
_atom_site_fract_x
_atom_site_fract_y
_atom_site_fract_z
La1 La 0.0000 0.0000 0.0000
Tc1 Tc 0.3333 0.6667 0.8082
Rh1 Rh 0.6667 0.3333 0.3295


(7)
# CsLiB2H PBEsol optimized geometry
# * size of the total moment: 0.00 Bohr magnetons per cell
# * raw total energy: -11.61 eV/cell
data_CsLiB2H
_cell_length_a 4.752
_cell_length_b 4.752
_cell_length_c 3.590
_cell_angle_alpha 90.00
_cell_angle_beta 90.00
_cell_angle_gamma 90.00
_space_group_name_H-M_alt 'P 4/m m m'
_space_group_IT_number 123
_space_group_name_Hall '-P 4 2'
loop_
_atom_site_label
_atom_site_type_symbol
_atom_site_fract_x
_atom_site_fract_y
_atom_site_fract_z
Cs1 Cs 0.000 0.000 0.000
Li1 Li 0.500 0.500 0.000
B1 B 0.000 0.500 0.500
H1 H 0.500 0.500 0.500


(8)
# ErBrO PBEsol optimized geometry
# * size of the total moment: 0.00 Bohr magnetons per cell
# * E_form (uncorrected): -2.991 eV per atom
data_ErBrO
_cell_length_a 3.758
_cell_length_b 3.758
_cell_length_c 8.434
_cell_angle_alpha 90.00
_cell_angle_beta 90.00
_cell_angle_gamma 90.00
_space_group_name_H-M_alt 'P 4/n m m'
_space_group_IT_number 129
loop_
_space_group_symop_operation_xyz
'x,y,z'
'-x,-y,-z'
'-y+1/2,x,z'
'y+1/2,-x,-z'
'-x+1/2,-y+1/2,z'
'x+1/2,y+1/2,-z'
'y,-x+1/2,z'
'-y,x+1/2,-z'
'x+1/2,-y,-z'
'-x+1/2,y,z'
'-y,-x,-z'
'y,x,z'
'-x,y+1/2,-z'
'x,-y+1/2,z'
'y+1/2,x+1/2,-z'
'-y+1/2,-x+1/2,z'
loop_
_atom_site_label
_atom_site_type_symbol
_atom_site_fract_x
_atom_site_fract_y
_atom_site_fract_z
Er1 Er 0.250 0.250 0.132
Br1 Br 0.250 0.250 0.675
O1 O 0.250 0.750 0.000


(9)
# SrAg3Ge PBEsol optimized geometry
# * formation energy: 1.31 eV/atom
# * size of the total moment: 0.00 Bohr magnetons per cell
data_SrAg3Ge
_cell_length_a 5.409
_cell_length_b 5.409
_cell_length_c 5.409
_cell_angle_alpha 90.00
_cell_angle_beta 90.00
_cell_angle_gamma 90.00
_space_group_name_H-M_alt 'P m -3 m'
_space_group_IT_number 221
_space_group_name_Hall '-P 4 2 3'
loop_
_atom_site_label
_atom_site_type_symbol
_atom_site_fract_x
_atom_site_fract_y
_atom_site_fract_z
Sr1 Sr 0.000 0.000 0.000
Ag1 Ag 0.000 0.000 0.500
Ge1 Ge 0.500 0.500 0.500


(10)
# Zr2FeSi PBEsol optimized geometry
# * size of the total moment: 0.00 Bohr magnetons per cell
# * E_form (uncorrected): -0.617 eV per atom
data_Zr2FeSi
_cell_length_a 3.752
_cell_length_b 3.594
_cell_length_c 9.894
_cell_angle_alpha 90.00
_cell_angle_beta 90.00
_cell_angle_gamma 90.00
_space_group_name_H-M_alt 'A m m 2'
_space_group_IT_number 38
_space_group_name_Hall 'A 2 -2'
loop_
_atom_site_label
_atom_site_type_symbol
_atom_site_fract_x
_atom_site_fract_y
_atom_site_fract_z
Zr1 Zr 0.000 0.000 0.000
Zr2 Zr 0.500 0.000 0.287
Fe1 Fe 0.000 0.000 0.728
Si1 Si 0.500 0.000 0.575


(11)
# Sr2H2I PBEsol optimized geometry
# * size of the total moment: 0.00 Bohr magnetons per cell
# * raw total energy: -32.21 eV/cell
data_Sr2H2I
_cell_length_a 4.059
_cell_length_b 4.059
_cell_length_c 13.693
_cell_angle_alpha 90.00
_cell_angle_beta 90.00
_cell_angle_gamma 90.00
_space_group_name_H-M_alt 'I 4/m m m'
_space_group_IT_number 139
_space_group_name_Hall '-I 4 2'
loop_
_atom_site_label
_atom_site_type_symbol
_atom_site_fract_x
_atom_site_fract_y
_atom_site_fract_z
Sr1 Sr 0.000 0.000 0.156
H1 H 0.000 0.500 0.250
I1 I 0.000 0.000 0.500


(12)
# ReMo PBEsol optimized geometry
# * formation energy: 0.24 eV/atom
# * size of the total moment: 0.00 Bohr magnetons per cell
data_ReMo
_cell_length_a 4.545
_cell_length_b 2.750
_cell_length_c 4.797
_cell_angle_alpha 90.00
_cell_angle_beta 90.00
_cell_angle_gamma 90.00
_space_group_name_H-M_alt 'P m m a'
_space_group_IT_number 51
_space_group_name_Hall '-P 2a 2a'
loop_
_atom_site_label
_atom_site_type_symbol
_atom_site_fract_x
_atom_site_fract_y
_atom_site_fract_z
Re1 Re 0.250 0.000 0.164
Mo1 Mo 0.250 0.500 0.667